(1)
## NaZrNi3 (GGA-PBEsol)

Data for a geometry-optimized NaZrNi3 structure.

N(E_F) = 0.601 states/eV per atom
magnetization = 0.00 μB/atom
formation energy from the elements = 990.4 meV per atom
energy = -4.80 eV/atom
SG = Pm-3m, No. 221

Cell lengths 4.6241, 4.6241, 4.6241 Å; angles 90.00, 90.00, 90.00 degrees
Fractional positions:
1 Na 0.0000 0.0000 0.0000
2 Zr 0.5000 0.5000 0.5000
3 Ni 0.0000 0.5000 0.5000
4 Ni 0.5000 0.0000 0.5000
5 Ni 0.5000 0.5000 0.0000



(2)
## SbI2NO (GGA-PBEsol)

Data for a geometry-optimized SbI2NO structure.

N(E_F) = 0.802 states/eV per atom
magnetization = 0.59 μB/atom
energy = -3.59 eV/atom
ΔE_f (raw) = 780 meV/atom
SG = P4/mmm, No. 123

Cell lengths 5.9305, 5.9305, 3.9894 Å; angles 90.00, 90.00, 90.00 degrees
Fractional positions:
1 Sb 0.0000 0.0000 0.0000
2 I 0.0000 0.5000 0.0000
3 I 0.5000 0.0000 0.0000
4 N 0.5000 0.5000 0.5000
5 O 0.0000 0.0000 0.5000



(3)
## TiPtSe2 (GGA-PBEsol)

Data for a geometry-optimized TiPtSe2 structure.

offset from the most stable computed form = 35.2 kJ per mole of atoms
N(E_F) = 1.048 states/eV per atom
magnetization = 0.29 μB/atom
energy = -5.73 eV/atom
ΔE_f (raw) = 17 meV/atom
SG = R-3m, No. 166

Cell lengths 8.0585, 8.0585, 8.0585 Å; angles 25.52, 25.52, 25.52 degrees
Fractional positions:
1 Ti 0.0000 0.0000 0.0000
2 Pt 0.5000 0.5000 0.5000
3 Se 0.1052 0.1052 0.1052
4 Se 0.8948 0.8948 0.8948



(4)
## TmCdCu4 (GGA-PBEsol)

Data for a geometry-optimized TmCdCu4 structure.

N(E_F) = 0.401 states/eV per atom
magnetization = 0.00 μB/atom
formation energy from the elements = -274.0 meV per atom
energy = -4.18 eV/atom
SG = F-43m, No. 216

Cell lengths 4.9826, 4.9826, 4.9826 Å; angles 60.00, 60.00, 60.00 degrees
Fractional positions:
1 Tm 0.0000 0.0000 0.0000
2 Cd 0.7500 0.7500 0.7500
3 Cu 0.3757 0.3757 0.3757
4 Cu 0.3757 0.3757 0.8729
5 Cu 0.3757 0.8729 0.3757
6 Cu 0.8729 0.3757 0.3757



(5)
## Sr2LiIr (GGA-PBEsol)

Data for a geometry-optimized Sr2LiIr structure.

N(E_F) = 0.275 states/eV per atom
magnetization = 0.00 μB/atom
formation energy from the elements = -39.7 meV per atom
energy = -3.91 eV/atom
SG = Amm2, No. 38

Cell lengths 4.4221, 5.9742, 5.9742 Å; angles 42.47, 90.00, 90.00 degrees
Fractional positions:
1 Sr 0.0000 0.0000 0.0000
2 Sr 0.5000 0.2773 0.2773
3 Li 0.0000 0.6864 0.6864
4 Ir 0.5000 0.5771 0.5771



(6)
## CaIn3Pb (GGA-PBEsol)

Data for a geometry-optimized CaIn3Pb structure.

N(E_F) = 0.647 states/eV per atom
magnetization = 0.00 μB/atom
formation energy from the elements = 351.0 meV per atom
energy = -2.67 eV/atom
SG = Pm-3m, No. 221

Cell lengths 5.6793, 5.6793, 5.6793 Å; angles 90.00, 90.00, 90.00 degrees
Fractional positions:
1 Ca 0.0000 0.0000 0.0000
2 In 0.0000 0.5000 0.5000
3 In 0.5000 0.0000 0.5000
4 In 0.5000 0.5000 0.0000
5 Pb 0.5000 0.5000 0.5000



(7)
## LiTl2Ag (GGA-PBEsol)

Data for a geometry-optimized LiTl2Ag structure.

offset from the most stable computed form = 3.8 kJ per mole of atoms
N(E_F) = 0.360 states/eV per atom
magnetization = 0.00 μB/atom
formation energy from the elements = -53.5 meV per atom
energy = -2.69 eV/atom
SG = Cm, No. 8

Cell lengths 5.5632, 5.5632, 5.0916 Å; angles 103.50, 103.50, 33.83 degrees
Fractional positions:
1 Li 0.0000 0.0000 0.0000
2 Tl 0.2484 0.2484 0.8207
3 Tl 0.4678 0.4678 0.4727
4 Ag 0.7103 0.7103 0.2876



(8)
## TiTeP2Ru (GGA-PBEsol)

Data for a geometry-optimized TiTeP2Ru structure.

N(E_F) = 0.845 states/eV per atom
magnetization = 0.00 μB/atom
energy = -6.05 eV/atom
ΔE_f (raw) = 669 meV/atom
SG = P4/mmm, No. 123

Cell lengths 4.5869, 4.5869, 4.6182 Å; angles 90.00, 90.00, 90.00 degrees
Fractional positions:
1 Ti 0.0000 0.0000 0.0000
2 Te 0.5000 0.5000 0.5000
3 P 0.0000 0.5000 0.0000
4 P 0.5000 0.0000 0.0000
5 Ru 0.0000 0.0000 0.5000



- Among the records above, which one has the lowest energy?
  TiTeP2Ru



- Look up the magnetization of the second one.
  0.59 μB/atom